(1)
Sm2Dy12Er PBE-GGA optimized geometry; crystal system = monoclinic
1.0
3.5430 -5.5962 0.0000
3.5430 5.5962 0.0000
-1.7545 0.0000 24.3092
Sm Dy Er
4 24 2
Cartesian
-0.0086 0.0000 6.5983 Sm
1.7731 0.0000 17.7020 Sm
3.5585 0.0000 6.6072 Sm
5.3401 0.0000 17.7109 Sm
1.7721 2.8133 4.8630 Dy
1.7780 2.7845 8.0250 Dy
1.7763 2.7805 13.4947 Dy
-0.0057 0.0000 13.9530 Dy
0.0172 0.0000 21.0367 Dy
1.7902 2.7984 22.5319 Dy
3.5413 2.7984 1.7773 Dy
1.7727 0.0000 3.3180 Dy
1.7710 0.0000 10.4105 Dy
3.5553 2.7805 10.8146 Dy
3.5536 2.7845 16.2842 Dy
3.5594 2.8133 19.4463 Dy
1.7721 -2.8133 4.8630 Dy
1.7780 -2.7845 8.0250 Dy
1.7763 -2.7805 13.4947 Dy
3.5606 0.0000 13.8987 Dy
3.5589 0.0000 20.9912 Dy
1.7902 -2.7984 22.5319 Dy
3.5413 -2.7984 1.7773 Dy
5.3144 0.0000 3.2726 Dy
5.3373 0.0000 10.3562 Dy
3.5553 -2.7805 10.8146 Dy
3.5536 -2.7845 16.2842 Dy
3.5594 -2.8133 19.4463 Dy
1.7719 0.0000 0.0211 Er
3.5597 0.0000 24.2882 Er

=====

(2)
Sm3Dy4Er5 PBE-GGA optimized geometry; offset from the most stable computed form = 0.000 eV/atom; crystal system = triclinic
1.0
6.1399 0.0000 0.0000
0.0175 7.0949 0.0000
0.0211 0.0008 8.6827
Sm Dy Er
3 4 5
Cartesian
0.0000 0.0000 0.0000 Sm
1.0339 1.7743 2.8943 Sm
5.1446 5.3213 5.7884 Sm
1.0504 5.3161 2.8910 Dy
2.0680 3.5482 5.7974 Dy
4.1105 3.5474 2.8852 Dy
5.1281 1.7796 5.7917 Dy
0.0088 3.5474 0.0000 Er
2.0692 0.0022 5.7968 Er
3.0781 5.3181 0.0004 Er
3.1004 1.7775 8.6823 Er
4.1093 7.0935 2.8859 Er

=====

(3)
Sm4Dy15Er PBE-GGA optimized geometry; crystal system = tetragonal
1.0
5.0321 0.0000 0.0000
0.0000 5.0321 0.0000
0.0000 0.0000 25.1368
Sm Dy Er
4 15 1
Cartesian
0.0000 0.0000 2.5193 Sm
0.0000 0.0000 7.5545 Sm
0.0000 0.0000 17.5823 Sm
0.0000 0.0000 22.6175 Sm
0.0000 2.5161 0.0000 Dy
0.0000 2.5161 5.0385 Dy
0.0000 2.5161 10.0828 Dy
0.0000 2.5161 15.0540 Dy
0.0000 2.5161 20.0983 Dy
2.5161 0.0000 0.0000 Dy
2.5161 0.0000 5.0385 Dy
2.5161 0.0000 10.0828 Dy
2.5161 0.0000 15.0540 Dy
2.5161 0.0000 20.0983 Dy
2.5161 2.5161 2.5168 Dy
2.5161 2.5161 7.5633 Dy
2.5161 2.5161 12.5684 Dy
2.5161 2.5161 17.5735 Dy
2.5161 2.5161 22.6200 Dy
0.0000 0.0000 12.5684 Er

=====

(4)
Sm3Dy2Er5 PBE-GGA optimized geometry; offset from the most stable computed form = 0.000 eV/atom; crystal system = monoclinic
1.0
5.3144 -7.9033 0.0000
5.3144 7.9033 0.0000
-5.3012 0.0000 7.7482
Sm Dy Er
6 4 10
Cartesian
1.3001 1.9510 0.3632 Sm
1.3385 4.2086 5.8111 Sm
-1.3504 -1.9510 4.2373 Sm
6.6780 1.9510 3.5109 Sm
3.9891 -4.2086 1.9370 Sm
4.0274 -1.9510 7.3850 Sm
1.3075 1.8717 3.5045 Dy
-1.3431 -1.8717 7.3786 Dy
6.6707 1.8717 0.3696 Dy
4.0201 -1.8717 4.2437 Dy
1.3385 7.4871 5.8111 Er
-1.3185 1.7872 5.9318 Er
3.9891 3.6128 1.9370 Er
1.3321 -1.7872 2.0577 Er
3.9891 0.4522 1.9370 Er
1.3385 -0.4522 5.8111 Er
3.9955 1.7872 5.6905 Er
1.3385 -3.6128 5.8111 Er
6.6461 -1.7872 1.8164 Er
3.9891 -7.4871 1.9370 Er

=====

(5)
Sm5Dy4Er PBE-GGA optimized geometry; offset from the most stable computed form = 0.000 eV/atom; crystal system = triclinic
1.0
3.5767 0.0000 0.0000
1.7838 9.2936 0.0000
0.0089 2.7638 9.7572
Sm Dy Er
5 4 1
Cartesian
0.0000 0.0000 0.0000 Sm
1.7871 5.8498 0.9794 Sm
1.7948 3.7790 6.8009 Sm
3.5746 8.2784 2.9563 Sm
3.5823 6.2075 8.7778 Sm
1.7903 7.2423 5.8520 Dy
1.7892 2.4202 1.9802 Dy
3.5802 9.6371 7.7770 Dy
3.5790 4.8150 3.9052 Dy
0.0044 1.3819 4.8786 Er

=====

(6)
SmDy2Er8 PBE-GGA optimized geometry; crystal system = monoclinic
1.0
8.6127 -2.7009 0.0000
8.6127 2.7009 0.0000
-3.6924 0.0000 7.4230
Sm Dy Er
1 2 8
Cartesian
0.0000 0.0000 0.0000 Sm
3.8764 0.0000 2.5340 Dy
9.6566 0.0000 4.8890 Dy
0.3920 0.0000 3.2867 Er
-0.4365 0.0000 6.6309 Er
2.9067 0.0000 5.9592 Er
7.2742 0.0000 2.0582 Er
6.2589 0.0000 5.3648 Er
10.6264 0.0000 1.4638 Er
13.9696 0.0000 0.7921 Er
13.1410 0.0000 4.1363 Er

=====

(7)
Sm2Dy2Er15 PBE-GGA optimized geometry; crystal system = trigonal
1.0
5.5610 3.2106 5.8136
-5.5610 3.2106 5.8136
0.0000 -6.4213 5.8136
Sm Dy Er
2 2 15
Cartesian
0.0000 0.0000 3.0317 Sm
0.0000 0.0000 14.4092 Sm
0.0000 0.0000 7.0040 Dy
0.0000 0.0000 10.4369 Dy
-2.7805 -1.6053 5.8136 Er
0.0000 -3.3096 5.3094 Er
-2.8662 1.6548 5.3094 Er
-1.6653 -2.8844 8.7205 Er
-3.3306 0.0000 8.7205 Er
-2.8662 -1.6548 12.1315 Er
-2.7805 1.6053 11.6273 Er
1.6653 -2.8844 8.7205 Er
0.0000 3.2106 5.8136 Er
-1.6653 2.8844 8.7205 Er
2.8662 1.6548 5.3094 Er
3.3306 0.0000 8.7205 Er
1.6653 2.8844 8.7205 Er
2.8662 -1.6548 12.1315 Er
0.0000 3.3096 12.1315 Er

=====

(8)
Sm3Dy3Er8 PBE-GGA optimized geometry; crystal system = orthorhombic
1.0
-2.8004 5.3701 7.4482
2.8004 -5.3701 7.4482
2.8004 5.3701 -7.4482
Sm Dy Er
3 3 8
Cartesian
0.0000 0.0000 0.0000 Sm
2.8004 0.0000 2.7254 Sm
0.0000 5.3701 4.7228 Sm
2.8004 2.1910 0.0000 Dy
0.0000 0.0000 7.4482 Dy
0.0000 3.1791 7.4482 Dy
2.8004 3.6519 -3.2933 Er
2.8004 -1.6940 5.9108 Er
0.0000 1.7182 4.1549 Er
0.0000 3.6761 1.5374 Er
2.8004 1.6940 5.9108 Er
2.8004 3.6519 3.2933 Er
0.0000 7.0641 1.5374 Er
0.0000 1.7182 10.7415 Er

=====

(9)
Sm8Dy2Er PBE-GGA optimized geometry; offset from the most stable computed form = 0.000 eV/atom; crystal system = monoclinic
1.0
5.5715 -3.7104 0.0000
5.5715 3.7104 0.0000
-2.6050 0.0000 8.8981
Sm Dy Er
8 2 1
Cartesian
2.9163 2.0864 6.4555 Sm
0.3234 0.0000 5.5517 Sm
-0.4832 0.0000 8.8825 Sm
5.6217 2.0864 2.4426 Sm
2.9163 -2.0864 6.4555 Sm
9.0212 0.0000 0.0156 Sm
8.2146 0.0000 3.3464 Sm
5.6217 -2.0864 2.4426 Sm
3.0143 0.0000 3.3253 Dy
5.5237 0.0000 5.5728 Dy
5.5715 0.0000 0.0000 Er

=====

(10)
Sm16Dy6Er7 PBE-GGA optimized geometry; crystal system = cubic
1.0
0.0000 7.9208 7.9208
7.9208 0.0000 7.9208
7.9208 7.9208 0.0000
Sm Dy Er
16 6 7
Cartesian
10.2950 5.5467 5.5467 Sm
1.9718 1.9718 1.9718 Sm
5.9491 5.9491 1.9718 Sm
5.9491 1.9718 5.9491 Sm
5.5467 5.5467 5.5467 Sm
10.2950 10.2950 5.5467 Sm
10.2950 5.5467 10.2950 Sm
13.8699 9.8926 9.8926 Sm
1.9718 5.9491 5.9491 Sm
5.5467 10.2950 5.5467 Sm
5.5467 5.5467 10.2950 Sm
10.2950 10.2950 10.2950 Sm
9.8926 13.8699 9.8926 Sm
9.8926 9.8926 13.8699 Sm
13.8699 13.8699 13.8699 Sm
5.5467 10.2950 10.2950 Sm
7.9208 7.9208 4.2609 Dy
7.9208 4.2609 7.9208 Dy
11.5807 7.9208 7.9208 Dy
4.2609 7.9208 7.9208 Dy
7.9208 11.5807 7.9208 Dy
7.9208 7.9208 11.5807 Dy
0.0000 0.0000 0.0000 Er
3.9604 3.9604 0.0000 Er
3.9604 0.0000 3.9604 Er
7.9208 3.9604 3.9604 Er
0.0000 3.9604 3.9604 Er
3.9604 7.9208 3.9604 Er
3.9604 3.9604 7.9208 Er

=====

(11)
Sm5Dy2Er PBE-GGA optimized geometry; crystal system = orthorhombic
1.0
2.7852 -5.9524 0.0000
2.7852 5.9524 0.0000
0.0000 0.0000 16.1906
Sm Dy Er
10 4 2
Cartesian
2.7852 5.4838 12.1429 Sm
2.7852 4.5384 0.8263 Sm
2.7852 4.5384 7.2690 Sm
2.7852 0.9051 1.5013 Sm
2.7852 0.9051 6.5940 Sm
2.7852 -0.9051 9.5966 Sm
2.7852 -0.9051 14.6892 Sm
2.7852 -4.5384 8.9216 Sm
2.7852 -4.5384 15.3643 Sm
2.7852 -5.4838 4.0476 Sm
2.7852 2.6716 10.2353 Dy
2.7852 2.6716 14.0506 Dy
2.7852 -2.6716 2.1400 Dy
2.7852 -2.6716 5.9553 Dy
2.7852 3.1179 4.0476 Er
2.7852 -3.1179 12.1429 Er

=====

(12)
Sm2Dy6Er3 PBE-GGA optimized geometry; crystal system = tetragonal
1.0
-2.3568 2.3568 16.5505
2.3568 -2.3568 16.5505
2.3568 2.3568 -16.5505
Sm Dy Er
2 6 3
Cartesian
0.0000 0.0000 1.5195 Sm
0.0000 0.0000 31.5815 Sm
2.3568 0.0000 4.0329 Dy
0.0000 0.0000 6.5071 Dy
2.3568 0.0000 12.5176 Dy
0.0000 2.3568 4.0329 Dy
0.0000 0.0000 26.5939 Dy
0.0000 2.3568 12.5176 Dy
0.0000 0.0000 9.9230 Er
0.0000 0.0000 16.5505 Er
0.0000 0.0000 23.1780 Er

=====

(13)
Sm2Dy3Er PBE-GGA optimized geometry; offset from the most stable computed form = 0.000 eV/atom; crystal system = monoclinic
1.0
8.5104 -2.8199 0.0000
8.5104 2.8199 0.0000
-5.5101 0.0000 7.9787
Sm Dy Er
4 6 2
Cartesian
-1.8240 0.0000 2.6789 Sm
1.0864 0.0000 4.5725 Sm
10.4243 0.0000 3.4061 Sm
13.3347 0.0000 5.2998 Sm
1.4647 0.0000 0.9441 Dy
-0.7621 0.0000 7.2586 Dy
3.9062 0.0000 6.6305 Dy
7.6045 0.0000 1.3482 Dy
12.2728 0.0000 0.7201 Dy
10.0460 0.0000 7.0346 Dy
4.3499 0.0000 2.9407 Er
7.1608 0.0000 5.0380 Er

=====

(14)
Sm7Dy3Er PBE-GGA optimized geometry; offset from the most stable computed form = 0.000 eV/atom; crystal system = monoclinic
1.0
7.0441 0.0000 0.0000
0.0000 5.6080 0.0000
-3.4936 0.0000 9.3532
Sm Dy Er
7 3 1
Cartesian
0.0000 0.0000 0.0000 Sm
0.0054 2.8040 2.7285 Sm
0.0293 2.8040 5.9811 Sm
0.0273 0.0000 7.7537 Sm
3.5232 0.0000 1.5995 Sm
3.5212 2.8040 3.3721 Sm
3.5451 2.8040 6.6248 Sm
-1.7468 0.0000 4.6766 Dy
-1.5223 2.8040 9.3502 Dy
5.0728 2.8040 0.0030 Dy
1.7752 0.0000 4.6766 Er

=====

(15)
Sm4Dy3Er2 PBE-GGA optimized geometry; offset from the most stable computed form = 0.000 eV/atom; crystal system = monoclinic
1.0
5.9064 -1.7877 0.0000
5.9064 1.7877 0.0000
-5.3970 0.0000 13.6948
Sm Dy Er
4 3 2
Cartesian
1.0682 0.0000 2.2769 Sm
-0.0101 0.0000 8.3739 Sm
6.4258 0.0000 5.3209 Sm
5.3475 0.0000 11.4179 Sm
4.2855 0.0000 0.7638 Dy
3.2079 0.0000 6.8474 Dy
2.1302 0.0000 12.9309 Dy
-3.2350 0.0000 9.8971 Er
9.6507 0.0000 3.7977 Er

=====

(16)
Sm5Dy4Er2 PBE-GGA optimized geometry; offset from the most stable computed form = 0.043 eV/atom; crystal system = orthorhombic
1.0
-1.7542 4.5461 11.6877
1.7542 -4.5461 11.6877
1.7542 4.5461 -11.6877
Sm Dy Er
5 4 2
Cartesian
0.0000 0.0000 0.0000 Sm
1.7542 1.8282 -3.4324 Sm
1.7542 1.8282 3.4324 Sm
0.0000 2.7180 8.2553 Sm
0.0000 2.7180 15.1202 Sm
1.7542 2.8200 0.0000 Dy
1.7542 0.0000 9.4217 Dy
0.0000 4.5461 2.2661 Dy
0.0000 1.7262 11.6877 Dy
1.7542 0.0000 6.3006 Er
0.0000 4.5461 5.3871 Er

=====

(17)
Sm3DyEr PBE-GGA optimized geometry; offset from the most stable computed form = 0.000 eV/atom; crystal system = monoclinic
1.0
6.3007 0.0000 0.0000
0.0000 5.7418 0.0000
-3.1456 0.0000 9.1100
Sm Dy Er
6 2 2
Cartesian
-1.0493 1.4354 3.6393 Sm
1.0522 4.3063 0.0013 Sm
2.0943 1.4354 1.8295 Sm
1.0608 4.3063 7.2805 Sm
2.1029 1.4354 9.1087 Sm
4.2044 4.3063 5.4707 Sm
1.0439 4.3063 3.6482 Dy
2.1112 1.4354 5.4618 Dy
-1.0327 1.4354 7.2747 Er
4.1878 4.3063 1.8353 Er

=====

(18)
Sm6Dy4Er PBE-GGA optimized geometry; offset from the most stable computed form = 0.181 eV/atom; crystal system = tetragonal
1.0
-3.3108 3.3108 8.5620
3.3108 -3.3108 8.5620
3.3108 3.3108 -8.5620
Sm Dy Er
6 4 1
Cartesian
3.3108 0.0000 0.0000 Sm
2.0631 -2.0631 5.5549 Sm
1.2478 1.2478 3.0071 Sm
0.0000 3.3108 0.0000 Sm
-2.0631 2.0631 5.5549 Sm
2.0631 2.0631 11.5690 Sm
2.1248 2.1248 -2.1925 Dy
1.1860 -1.1860 10.7544 Dy
1.1860 1.1860 6.3695 Dy
-1.1860 1.1860 10.7544 Dy
0.0000 0.0000 0.0000 Er

=====

| no. | energy of formation (eV/atom) | raw total energy (eV per atom) |
| --- | --- | --- |
| 1 | 0.116 | -4.50 |
| 2 | 0.018 | -4.60 |
| 3 | 0.018 | -4.61 |
| 4 | 0.197 | -4.42 |
| 5 | 0.017 | -4.64 |
| 6 | 0.102 | -4.48 |
| 7 | 0.286 | -4.30 |
| 8 | 0.113 | -4.49 |
| 9 | 0.124 | -4.56 |
| 10 | 0.216 | -4.44 |
| 11 | 0.131 | -4.54 |
| 12 | 0.281 | -4.33 |
| 13 | 0.065 | -4.57 |
| 14 | 0.125 | -4.55 |
| 15 | 0.017 | -4.63 |
| 16 | 0.219 | -4.43 |
| 17 | 0.018 | -4.65 |
| 18 | 0.302 | -4.36 |